Density functional theory data (PBE) for a geometry-optimized Sm12HoEr3 structure.

As for the magnetization: 0.0 μB/cell. The total energy is -74.6 eV/cell. The value obtained for the calculated formation energy is 2 kJ per mole of atoms.

The space group is P4/mmm (No. 123) and the conventional cell measures 5.090, 5.090 and 20.321 Å, with angles of 90.00, 90.00 and 90.00 degrees. The distinct sites, in fractional coordinates, are Sm at (0.000, 0.000, 0.000), Sm at (0.000, 0.000, 0.250), Sm at (0.000, 0.000, 0.500), Sm at (0.000, 0.500, 0.125), Sm at (0.000, 0.500, 0.375), Ho at (0.500, 0.500, 0.000), Er at (0.500, 0.500, 0.250) and Er at (0.500, 0.500, 0.500).